A relaxed structure of RbLiGa2I4. Source: Alexandria, functional PBE.

a = 9.610 Å, b = 9.610 Å, c = 9.610 Å
α = 119.92°, β = 119.70°, γ = 90.33°
Fractional coordinates of all 16 atoms:
Rb: 0.500 0.000 0.000
Rb: 0.500 0.500 0.500
Li: 0.000 0.000 0.000
Li: 0.500 0.000 0.500
Ga: 0.000 0.000 0.500
Ga: 0.000 0.500 0.000
Ga: 0.000 0.500 0.500
Ga: 0.500 0.500 0.000
I: 0.198 0.216 0.981
I: 0.240 0.246 0.505
I: 0.240 0.735 0.995
I: 0.265 0.784 0.481
I: 0.735 0.216 0.519
I: 0.760 0.265 0.005
I: 0.760 0.754 0.495
I: 0.802 0.784 0.019

Values from the calculation:
- mass density (g/cm³) = 3.90
- formation energy without anion corrections (eV per atom) = -0.78